Sr2HoThAs4 | Alexandria via LeMat-Bulk | GGA-PBE | optimized geometry; SG = P2/m, No. 10
1.0
4.324 0.000 0.000
0.000 7.426 0.113
0.000 -2.612 7.161
Sr Ho Th As
2 1 1 4
Direct
0.500 0.000 0.500
0.000 0.500 0.500
0.500 0.500 0.000
0.000 0.000 0.000
0.500 0.246 0.226
0.500 0.754 0.774
0.000 0.262 0.776
0.000 0.738 0.224

Sr3Ho2UAs6 | Alexandria via LeMat-Bulk | GGA-PBE | optimized geometry; SG = C2/m, No. 12
1.0
-3.961 -2.811 5.466
7.205 0.946 0.817
-2.232 7.187 0.446
Sr Ho U As
3 2 1 6
Direct
0.170 0.830 0.500
0.830 0.170 0.500
0.500 0.500 0.500
0.334 0.666 0.000
0.666 0.334 0.000
0.000 0.000 0.000
0.928 0.608 0.783
0.754 0.754 0.217
0.072 0.392 0.217
0.608 0.928 0.783
0.246 0.246 0.783
0.392 0.072 0.217

Tb5HoAs6 | Alexandria via LeMat-Bulk | GGA-PBE | optimized geometry; SG = C2/m, No. 12
1.0
-1.149 0.601 -7.038
-4.738 -4.951 -2.078
-6.999 1.496 0.056
As Tb Ho
6 5 1
Direct
0.751 0.083 0.332
0.249 0.585 0.332
0.249 0.249 0.000
0.751 0.751 0.000
0.751 0.415 0.668
0.249 0.917 0.668
0.500 0.167 0.666
0.000 0.333 0.333
0.500 0.500 0.000
0.000 0.667 0.667
0.500 0.833 0.334
0.000 0.000 0.000

Tb5Ho3As8 | Alexandria via LeMat-Bulk | GGA-PBE | optimized geometry; SG = R-3m, No. 166
1.0
-0.488 -8.226 -0.344
6.504 -4.608 2.115
-0.164 -4.416 6.964
Tb Ho As
5 3 8
Direct
0.500 0.000 0.000
0.500 0.500 0.000
0.000 0.000 0.000
0.000 0.500 0.000
0.500 0.500 0.500
0.500 0.000 0.500
0.000 0.000 0.500
0.000 0.500 0.500
0.250 0.250 0.748
0.250 0.752 0.748
0.752 0.250 0.748
0.751 0.751 0.748
0.750 0.750 0.252
0.750 0.248 0.252
0.248 0.750 0.252
0.249 0.249 0.252

TbHoAs | Alexandria via LeMat-Bulk | GGA-PBE | optimized geometry; SG = P3m1, No. 156
1.0
-3.561 1.506 -0.949
0.859 -0.839 3.796
2.303 5.948 0.794
As Tb Ho
1 1 1
Direct
0.667 0.333 0.335
0.000 0.000 0.073
0.333 0.667 0.592

TbHoAs2 | Alexandria via LeMat-Bulk | GGA-PBE | optimized geometry; energy relative to the lowest polymorph listed for this composition = 2 meV/atom; SG = R-3m, No. 166
1.0
4.122 -0.001 -0.004
-2.061 3.570 0.004
-2.056 -1.192 6.722
Tb Ho As
1 1 2
Direct
0.000 0.500 0.500
0.000 0.000 0.000
0.502 0.251 0.752
0.498 0.749 0.248

Size of the total moment readings, ordered: 0.00, 0.00, 0.00, 0.00, 0.03, 0.00 μB per cell
DFT total energy readings, ordered: -5.510, -5.656, -6.176, -6.166, -5.475, -6.162 eV per atom
Formation energy from the elements readings, ordered: -1.265, -1.207, -1.540, -1.536, -0.856, -1.535 eV per atom